1.
This record from Alexandria describes a geometry-optimized ZnNiRh structure. The functional is GGA-PBE.

Cell and atoms, written as CIF:
```
data_ZnNiRh
_cell_length_a 4.570
_cell_length_b 7.949
_cell_length_c 4.570
_cell_angle_alpha 90.00
_cell_angle_beta 109.45
_cell_angle_gamma 90.00
_space_group_name_H-M_alt 'C 1 2 1'
_space_group_IT_number 5
_space_group_name_Hall 'C 2y'
loop_
_atom_site_label
_atom_site_type_symbol
_atom_site_fract_x
_atom_site_fract_y
_atom_site_fract_z
Zn1 Zn 0.000 0.000 0.000
Zn2 Zn 0.000 0.174 0.500
Ni1 Ni 0.000 0.337 0.000
Ni2 Ni 0.000 0.668 0.000
Rh1 Rh 0.000 0.505 0.500
Rh2 Rh 0.000 0.835 0.500
```

Output
crystal system: monoclinic
energy relative to the lowest polymorph listed for this composition: 26 meV/atom
density of states at the Fermi level: 13.903 states/eV/cell
ΔE_f: -14.0 kJ per mole of atoms
total magnetic moment: 0.00 μB/f.u.

2.
This record from Alexandria describes a geometry-optimized Mg3SnBr structure. The functional is GGA-PBE.

Cell and atoms, written as CIF:
```
data_Mg3SnBr
_cell_length_a 5.508
_cell_length_b 5.508
_cell_length_c 5.508
_cell_angle_alpha 90.00
_cell_angle_beta 90.00
_cell_angle_gamma 90.00
_space_group_name_H-M_alt 'P m -3 m'
_space_group_IT_number 221
_space_group_name_Hall '-P 4 2 3'
loop_
_atom_site_label
_atom_site_type_symbol
_atom_site_fract_x
_atom_site_fract_y
_atom_site_fract_z
Mg1 Mg 0.000 0.000 0.500
Sn1 Sn 0.000 0.000 0.000
Br1 Br 0.500 0.500 0.500
```

Output
crystal system: cubic
energy relative to the lowest polymorph listed for this composition: 0 meV/atom
density of states at the Fermi level: 3.137 states/eV/cell
total magnetic moment: 0.00 μB/f.u.
formation energy without anion corrections: -0.0566 eV per atom

3.
This record from Alexandria describes a geometry-optimized KHgS structure. The functional is GGA-PBE.

Cell and atoms, written as CIF:
```
data_KHgS
_cell_length_a 4.417
_cell_length_b 4.417
_cell_length_c 9.911
_cell_angle_alpha 90.00
_cell_angle_beta 90.00
_cell_angle_gamma 90.00
_space_group_name_H-M_alt 'P 4/n m m'
_space_group_IT_number 129
loop_
_space_group_symop_operation_xyz
'x,y,z'
'-x,-y,-z'
'-y+1/2,x,z'
'y+1/2,-x,-z'
'-x+1/2,-y+1/2,z'
'x+1/2,y+1/2,-z'
'y,-x+1/2,z'
'-y,x+1/2,-z'
'x+1/2,-y,-z'
'-x+1/2,y,z'
'-y,-x,-z'
'y,x,z'
'-x,y+1/2,-z'
'x,-y+1/2,z'
'y+1/2,x+1/2,-z'
'-y+1/2,-x+1/2,z'
loop_
_atom_site_label
_atom_site_type_symbol
_atom_site_fract_x
_atom_site_fract_y
_atom_site_fract_z
K1 K 0.250 0.250 0.152
Hg1 Hg 0.250 0.250 0.574
S1 S 0.250 0.250 0.818
```

Output
crystal system: tetragonal
energy relative to the lowest polymorph listed for this composition: 96 meV/atom
density of states at the Fermi level: 4.643 states/eV/cell
total magnetic moment: 0.00 μB/f.u.
formation energy without anion corrections: -0.4546 eV per atom

4.
This record from Alexandria describes a geometry-optimized SmPdSe2O8 structure. The functional is GGA-PBE.

Cell and atoms, written as CIF:
```
data_SmPdSe2O8
_cell_length_a 5.6092
_cell_length_b 5.6092
_cell_length_c 7.0050
_cell_angle_alpha 90.00
_cell_angle_beta 90.00
_cell_angle_gamma 120.00
_space_group_name_H-M_alt 'P -3 m 1'
_space_group_IT_number 164
_space_group_name_Hall '-P 3 2"'
loop_
_atom_site_label
_atom_site_type_symbol
_atom_site_fract_x
_atom_site_fract_y
_atom_site_fract_z
Sm1 Sm 0.0000 0.0000 0.0000
Pd1 Pd 0.0000 0.0000 0.5000
Se1 Se 0.3333 0.6667 0.1905
O1 O 0.1660 0.3320 0.2635
O2 O 0.3333 0.6667 0.9520
```

Output
crystal system: trigonal
density of states at the Fermi level: 3.065 states/eV/cell
total magnetic moment: 1.00 μB/f.u.
formation energy without anion corrections: -1.0452 eV per atom

5.
This record from Alexandria describes a geometry-optimized KCu2Br structure. The functional is GGA-PBE.

Cell and atoms, written as CIF:
```
data_KCu2Br
_cell_length_a 5.764
_cell_length_b 5.767
_cell_length_c 13.324
_cell_angle_alpha 90.00
_cell_angle_beta 90.00
_cell_angle_gamma 90.00
_space_group_name_H-M_alt 'F m m m'
_space_group_IT_number 69
_space_group_name_Hall '-F 2 2'
loop_
_atom_site_label
_atom_site_type_symbol
_atom_site_fract_x
_atom_site_fract_y
_atom_site_fract_z
K1 K 0.000 0.000 0.000
Cu1 Cu 0.000 0.250 0.250
Br1 Br 0.000 0.000 0.500
```

Output
crystal system: orthorhombic
energy relative to the lowest polymorph listed for this composition: 278 meV/atom
density of states at the Fermi level: 2.511 states/eV/cell
total magnetic moment: 0.00 μB/f.u.
formation energy without anion corrections: 0.1273 eV per atom

6.
This record from Alexandria describes a geometry-optimized HfMg2Cd5 structure. The functional is GGA-PBE.

Cell and atoms, written as CIF:
```
data_HfMg2Cd5
_cell_length_a 4.465
_cell_length_b 4.465
_cell_length_c 17.155
_cell_angle_alpha 90.00
_cell_angle_beta 90.00
_cell_angle_gamma 90.00
_space_group_name_H-M_alt 'I 4/m m m'
_space_group_IT_number 139
_space_group_name_Hall '-I 4 2'
loop_
_atom_site_label
_atom_site_type_symbol
_atom_site_fract_x
_atom_site_fract_y
_atom_site_fract_z
Hf1 Hf 0.000 0.000 0.000
Mg1 Mg 0.000 0.000 0.244
Cd1 Cd 0.000 0.000 0.500
Cd2 Cd 0.000 0.500 0.125
```

Output
crystal system: tetragonal
density of states at the Fermi level: 6.556 states/eV/cell
ΔE_f: -2.8 kJ per mole of atoms
total magnetic moment: 0.00 μB/f.u.

7.
This record from Alexandria describes a geometry-optimized CaHPt2Au structure. The functional is GGA-PBE.

Cell and atoms, written as CIF:
```
data_CaHPt2Au
_cell_length_a 4.090
_cell_length_b 4.090
_cell_length_c 4.459
_cell_angle_alpha 90.00
_cell_angle_beta 90.00
_cell_angle_gamma 90.00
_space_group_name_H-M_alt 'P 4/m m m'
_space_group_IT_number 123
_space_group_name_Hall '-P 4 2'
loop_
_atom_site_label
_atom_site_type_symbol
_atom_site_fract_x
_atom_site_fract_y
_atom_site_fract_z
Ca1 Ca 0.000 0.000 0.000
H1 H 0.000 0.000 0.500
Pt1 Pt 0.000 0.500 0.500
Au1 Au 0.500 0.500 0.000
```

Output
crystal system: tetragonal
energy relative to the lowest polymorph listed for this composition: 0 meV/atom
density of states at the Fermi level: 1.247 states/eV/cell
total magnetic moment: 0.00 μB/f.u.

8.
This record from Alexandria describes a geometry-optimized Sc5CdCu structure. The functional is GGA-PBE.

Cell and atoms, written as CIF:
```
data_Sc5CdCu
_cell_length_a 7.869
_cell_length_b 7.161
_cell_length_c 11.370
_cell_angle_alpha 90.00
_cell_angle_beta 102.97
_cell_angle_gamma 90.00
_space_group_name_H-M_alt 'C 1 2/c 1'
_space_group_IT_number 15
_space_group_name_Hall '-C 2yc'
loop_
_atom_site_label
_atom_site_type_symbol
_atom_site_fract_x
_atom_site_fract_y
_atom_site_fract_z
Sc1 Sc 0.000 0.021 0.250
Sc2 Sc 0.142 0.350 0.078
Sc3 Sc 0.244 0.324 0.377
Cd1 Cd 0.000 0.384 0.750
Cu1 Cu 0.000 0.000 0.000
```

Output
crystal system: monoclinic
density of states at the Fermi level: 34.303 states/eV/cell
ΔE_f: 0.4 kJ per mole of atoms
total magnetic moment: 0.00 μB/f.u.

9.
This record from Alexandria describes a geometry-optimized SmTm2Co structure. The functional is GGA-PBE.

Cell and atoms, written as CIF:
```
data_SmTm2Co
_cell_length_a 3.362
_cell_length_b 3.362
_cell_length_c 8.821
_cell_angle_alpha 90.00
_cell_angle_beta 90.00
_cell_angle_gamma 90.00
_space_group_name_H-M_alt 'P 4/m m m'
_space_group_IT_number 123
_space_group_name_Hall '-P 4 2'
loop_
_atom_site_label
_atom_site_type_symbol
_atom_site_fract_x
_atom_site_fract_y
_atom_site_fract_z
Sm1 Sm 0.000 0.000 0.000
Tm1 Tm 0.500 0.500 0.320
Co1 Co 0.000 0.000 0.500
```

Output
crystal system: tetragonal
energy relative to the lowest polymorph listed for this composition: 37 meV/atom
density of states at the Fermi level: 3.809 states/eV/cell
ΔE_f: -10.2 kJ per mole of atoms
total magnetic moment: 0.63 μB/f.u.

10.
This record from Alexandria describes a geometry-optimized Pa4Si3Ru structure. The functional is GGA-PBE.

Cell and atoms, written as CIF:
```
data_Pa4Si3Ru
_cell_length_a 3.986
_cell_length_b 4.036
_cell_length_c 10.510
_cell_angle_alpha 90.00
_cell_angle_beta 90.00
_cell_angle_gamma 90.00
_space_group_name_H-M_alt 'P m m 2'
_space_group_IT_number 25
_space_group_name_Hall 'P 2 -2'
loop_
_atom_site_label
_atom_site_type_symbol
_atom_site_fract_x
_atom_site_fract_y
_atom_site_fract_z
Pa1 Pa 0.000 0.000 0.000
Pa2 Pa 0.000 0.500 0.497
Pa3 Pa 0.500 0.000 0.286
Pa4 Pa 0.500 0.500 0.787
Si1 Si 0.000 0.000 0.717
Si2 Si 0.000 0.500 0.221
Si3 Si 0.500 0.500 0.066
Ru1 Ru 0.500 0.000 0.560
```

Output
crystal system: orthorhombic
density of states at the Fermi level: 13.354 states/eV/cell
total magnetic moment: 0.00 μB/f.u.
formation energy without anion corrections: -0.4988 eV per atom

11.
This record from Alexandria describes a geometry-optimized Ca2TcSe structure. The functional is GGA-PBE.

Cell and atoms, written as CIF:
```
data_Ca2TcSe
_cell_length_a 4.511
_cell_length_b 3.775
_cell_length_c 6.085
_cell_angle_alpha 90.00
_cell_angle_beta 111.65
_cell_angle_gamma 90.00
_space_group_name_H-M_alt 'P 1 m 1'
_space_group_IT_number 6
_space_group_name_Hall 'P -2y'
loop_
_atom_site_label
_atom_site_type_symbol
_atom_site_fract_x
_atom_site_fract_y
_atom_site_fract_z
Ca1 Ca 0.000 0.000 0.000
Ca2 Ca 0.289 0.500 0.575
Tc1 Tc 0.572 0.500 0.145
Se1 Se 0.719 0.000 0.435
```

Output
crystal system: monoclinic
density of states at the Fermi level: 4.189 states/eV/cell
total magnetic moment: 0.98 μB/f.u.
formation energy without anion corrections: -0.3253 eV per atom

12.
This record from Alexandria describes a geometry-optimized Ce5Pu2Ge2 structure. The functional is GGA-PBE.

Cell and atoms, written as CIF:
```
data_Ce5Pu2Ge2
_cell_length_a 10.705
_cell_length_b 16.715
_cell_length_c 6.018
_cell_angle_alpha 90.00
_cell_angle_beta 123.59
_cell_angle_gamma 90.00
_space_group_name_H-M_alt 'C 1 m 1'
_space_group_IT_number 8
_space_group_name_Hall 'C -2y'
loop_
_atom_site_label
_atom_site_type_symbol
_atom_site_fract_x
_atom_site_fract_y
_atom_site_fract_z
Ce1 Ce 0.000 0.000 0.000
Ce2 Ce 0.025 0.500 0.068
Ce3 Ce 0.134 0.100 0.652
Ce4 Ce 0.287 0.338 0.071
Ce5 Ce 0.291 0.323 0.543
Ce6 Ce 0.405 0.110 0.423
Pu1 Pu 0.091 0.265 0.623
Pu2 Pu 0.122 0.500 0.580
Pu3 Pu 0.401 0.500 0.491
Ge1 Ge 0.093 0.182 0.114
Ge2 Ge 0.446 0.184 0.973
```

Output
crystal system: monoclinic
density of states at the Fermi level: 67.119 states/eV/cell
ΔE_f: -22.6 kJ per mole of atoms
total magnetic moment: 0.66 μB/f.u.

13.
This record from Alexandria describes a geometry-optimized Pm5NdSe8 structure. The functional is GGA-PBE.

Cell and atoms, written as CIF:
```
data_Pm5NdSe8
_cell_length_a 9.080
_cell_length_b 9.080
_cell_length_c 8.676
_cell_angle_alpha 90.00
_cell_angle_beta 90.00
_cell_angle_gamma 90.00
_space_group_name_H-M_alt 'I -4'
_space_group_IT_number 82
_space_group_name_Hall 'I -4'
loop_
_atom_site_label
_atom_site_type_symbol
_atom_site_fract_x
_atom_site_fract_y
_atom_site_fract_z
Pm1 Pm 0.000 0.000 0.000
Pm2 Pm 0.154 0.249 0.625
Nd1 Nd 0.000 0.500 0.250
Se1 Se 0.067 0.324 0.944
Se2 Se 0.068 0.175 0.305
```

Output
crystal system: tetragonal
density of states at the Fermi level: 12.184 states/eV/cell
total magnetic moment: 0.00 μB/f.u.
formation energy without anion corrections: -1.8562 eV per atom